Entry 1:
Entry from the Alexandria database: a geometry-optimized CsP2H structure (PBE-GGA).

Cell and atoms, written as POSCAR:
```
CsP2H
1.0
-3.067 3.067 4.395
3.067 -3.067 4.395
3.067 3.067 -4.395
Cs P H
2 4 2
Cartesian
3.067 1.534 1.099
0.000 1.534 3.296
0.000 0.000 0.000
1.534 1.534 -2.198
1.534 -1.534 2.198
0.000 3.067 0.000
3.067 -1.534 3.296
0.000 4.601 1.099
```

Summary:
Uncorrected energy, eV for the cell shown: -26.6


Entry 2:
Entry from the Alexandria database: a geometry-optimized Cs2PH3 structure (PBE-GGA).

Cell and atoms, written as POSCAR:
```
Cs2PH3
1.0
4.206 -4.706 0.000
4.206 4.706 0.000
-2.286 0.000 8.061
Cs P H
4 2 6
Cartesian
4.206 2.787 0.000
3.063 2.074 4.031
3.063 -2.074 4.031
4.206 -2.787 0.000
0.422 0.000 6.130
5.704 0.000 1.931
1.357 0.000 2.165
0.266 0.000 7.566
1.858 0.000 6.271
4.267 0.000 1.790
5.859 0.000 0.495
4.769 0.000 5.896
```

Summary:
Uncorrected energy, eV for the cell shown: -36.9


Entry 3:
Entry from the Alexandria database: a geometry-optimized CsP4H7 structure (PBE-GGA).

Cell and atoms, written as POSCAR:
```
CsP4H7
1.0
6.069 0.000 0.000
-2.543 5.687 0.000
-0.593 -3.191 6.147
Cs P H
1 4 7
Cartesian
0.000 0.000 0.000
0.806 -0.754 3.623
-0.177 0.723 4.889
1.618 2.862 2.746
3.125 1.982 1.374
-1.259 -0.036 5.473
-1.080 1.389 3.987
0.413 2.556 2.039
2.111 -0.379 4.092
2.388 1.974 0.135
2.750 0.642 1.721
1.712 4.182 2.203
```

Summary:
Uncorrected energy, eV for the cell shown: -47.3


Entry 4:
Entry from the Alexandria database: a geometry-optimized CsPH3 structure (PBE-GGA).

Cell and atoms, written as POSCAR:
```
CsPH3
1.0
4.010 0.000 0.000
0.000 4.010 0.000
0.000 0.000 4.010
Cs P H
1 1 3
Cartesian
0.000 0.000 0.000
2.005 2.005 2.005
0.000 2.005 2.005
2.005 0.000 2.005
2.005 2.005 0.000
```

Summary:
Uncorrected energy, eV for the cell shown: -15.2